Record 1
! SiSe2Cl (GGA-PBE, relaxed); values from VASP
! SG = I4/mmm
! energy above the most stable polymorph in this dataset = 697 meV/atom
! formation energy from raw total energies = 1.164 eV per formula unit
! energy = -0.2402 Ry/atom
&SYSTEM
  ibrav = 0, nat = 4, ntyp = 3
/
ATOMIC_SPECIES
Si 28.09 Si.upf
Se 78.96 Se.upf
Cl 35.45 Cl.upf
ATOMIC_POSITIONS crystal
Si 0.000 0.000 0.000
Se 0.250 0.750 0.500
Se 0.750 0.250 0.500
Cl 0.500 0.500 0.000
CELL_PARAMETERS angstrom
-1.926 1.926 5.750
1.926 -1.926 5.750
1.926 1.926 -5.750


Record 2
! Si2SeCl (GGA-PBE, relaxed); values from VASP
! SG = R-3m
! energy above the most stable polymorph in this dataset = 430 meV/atom
! formation energy from raw total energies = 1.050 eV per formula unit
! energy = -0.2779 Ry/atom
&SYSTEM
  ibrav = 0, nat = 4, ntyp = 3
/
ATOMIC_SPECIES
Si 28.09 Si.upf
Se 78.96 Se.upf
Cl 35.45 Cl.upf
ATOMIC_POSITIONS crystal
Si 0.244 0.244 0.244
Si 0.756 0.756 0.756
Se 0.500 0.500 0.500
Cl 0.000 0.000 0.000
CELL_PARAMETERS angstrom
1.794 1.036 7.547
-1.794 1.036 7.547
0.000 -2.071 7.547


Record 3
! SiSe2Cl (GGA-PBE, relaxed); values from VASP
! SG = C2/m
! energy above the most stable polymorph in this dataset = 722 meV/atom
! formation energy from raw total energies = 1.265 eV per formula unit
! energy = -0.2384 Ry/atom
&SYSTEM
  ibrav = 0, nat = 4, ntyp = 3
/
ATOMIC_SPECIES
Si 28.09 Si.upf
Se 78.96 Se.upf
Cl 35.45 Cl.upf
ATOMIC_POSITIONS crystal
Si 0.000 0.000 0.000
Se 0.000 0.500 0.500
Se 0.500 0.000 0.500
Cl 0.500 0.500 0.000
CELL_PARAMETERS angstrom
2.536 -6.196 0.000
2.536 6.196 0.000
-0.008 0.000 2.855


Record 4
! SiSe2Cl (GGA-PBE, relaxed); values from VASP
! SG = Imm2
! energy above the most stable polymorph in this dataset = 643 meV/atom
! formation energy from raw total energies = 0.949 eV per formula unit
! energy = -0.2442 Ry/atom
&SYSTEM
  ibrav = 0, nat = 4, ntyp = 3
/
ATOMIC_SPECIES
Si 28.09 Si.upf
Se 78.96 Se.upf
Cl 35.45 Cl.upf
ATOMIC_POSITIONS crystal
Si 0.000 0.000 0.000
Se 0.555 0.555 0.000
Se 0.788 0.288 0.500
Cl 0.203 0.703 0.500
CELL_PARAMETERS angstrom
-1.670 3.428 4.347
1.670 -3.428 4.347
1.670 3.428 -4.347


Record 5
! SiSe2Cl (GGA-PBE, relaxed); values from VASP
! SG = Pmm2
! energy above the most stable polymorph in this dataset = 495 meV/atom
! formation energy from raw total energies = 0.354 eV per formula unit
! energy = -0.2551 Ry/atom
&SYSTEM
  ibrav = 0, nat = 4, ntyp = 3
/
ATOMIC_SPECIES
Si 28.09 Si.upf
Se 78.96 Se.upf
Cl 35.45 Cl.upf
ATOMIC_POSITIONS crystal
Si 0.000 0.000 0.000
Se 0.000 0.000 0.687
Se 0.500 0.500 0.635
Cl 0.500 0.500 0.053
CELL_PARAMETERS angstrom
3.756 0.000 0.000
0.000 3.904 0.000
0.000 0.000 7.909


Record 6
! Si3SeCl (GGA-PBE, relaxed); values from VASP
! SG = Pm-3m
! energy above the most stable polymorph in this dataset = 0 meV/atom
! formation energy from raw total energies = 5.442 eV per formula unit
! energy = -0.2375 Ry/atom
&SYSTEM
  ibrav = 0, nat = 5, ntyp = 3
/
ATOMIC_SPECIES
Si 28.09 Si.upf
Se 78.96 Se.upf
Cl 35.45 Cl.upf
ATOMIC_POSITIONS crystal
Si 0.000 0.000 0.500
Si 0.000 0.500 0.000
Si 0.500 0.000 0.000
Se 0.000 0.000 0.000
Cl 0.500 0.500 0.500
CELL_PARAMETERS angstrom
5.125 0.000 0.000
0.000 5.125 0.000
0.000 0.000 5.125


Record 7
! Si2SeCl (GGA-PBE, relaxed); values from VASP
! SG = Imm2
! energy above the most stable polymorph in this dataset = 353 meV/atom
! formation energy from raw total energies = 0.741 eV per formula unit
! energy = -0.2836 Ry/atom
&SYSTEM
  ibrav = 0, nat = 4, ntyp = 3
/
ATOMIC_SPECIES
Si 28.09 Si.upf
Se 78.96 Se.upf
Cl 35.45 Cl.upf
ATOMIC_POSITIONS crystal
Si 0.000 0.000 0.000
Si 0.848 0.348 0.500
Se 0.120 0.620 0.500
Cl 0.387 0.387 0.000
CELL_PARAMETERS angstrom
-1.627 2.442 6.834
1.627 -2.442 6.834
1.627 2.442 -6.834


Record 8
! SiSe2Cl (GGA-PBE, relaxed); values from VASP
! SG = P4/mmm
! energy above the most stable polymorph in this dataset = 693 meV/atom
! formation energy from raw total energies = 1.146 eV per formula unit
! energy = -0.2406 Ry/atom
&SYSTEM
  ibrav = 0, nat = 4, ntyp = 3
/
ATOMIC_SPECIES
Si 28.09 Si.upf
Se 78.96 Se.upf
Cl 35.45 Cl.upf
ATOMIC_POSITIONS crystal
Si 0.000 0.000 0.000
Se 0.000 0.500 0.500
Se 0.500 0.000 0.500
Cl 0.500 0.500 0.000
CELL_PARAMETERS angstrom
3.857 0.000 0.000
0.000 3.857 0.000
0.000 0.000 5.706


Record 9
! Si2SeCl (GGA-PBE, relaxed); values from VASP
! SG = I-4m2
! energy above the most stable polymorph in this dataset = 585 meV/atom
! formation energy from raw total energies = 1.669 eV per formula unit
! energy = -0.2666 Ry/atom
&SYSTEM
  ibrav = 0, nat = 4, ntyp = 3
/
ATOMIC_SPECIES
Si 28.09 Si.upf
Se 78.96 Se.upf
Cl 35.45 Cl.upf
ATOMIC_POSITIONS crystal
Si 0.000 0.000 0.000
Si 0.750 0.250 0.500
Se 0.500 0.500 0.000
Cl 0.250 0.750 0.500
CELL_PARAMETERS angstrom
-1.859 1.859 6.103
1.859 -1.859 6.103
1.859 1.859 -6.103


Record 10
! SiSe2Cl (GGA-PBE, relaxed); values from VASP
! SG = I-4m2
! energy above the most stable polymorph in this dataset = 894 meV/atom
! formation energy from raw total energies = 1.953 eV per formula unit
! energy = -0.2257 Ry/atom
&SYSTEM
  ibrav = 0, nat = 4, ntyp = 3
/
ATOMIC_SPECIES
Si 28.09 Si.upf
Se 78.96 Se.upf
Cl 35.45 Cl.upf
ATOMIC_POSITIONS crystal
Si 0.000 0.000 0.000
Se 0.500 0.500 0.000
Se 0.750 0.250 0.500
Cl 0.250 0.750 0.500
CELL_PARAMETERS angstrom
-2.413 2.413 3.403
2.413 -2.413 3.403
2.413 2.413 -3.403


Record 11
! Sm4SiSeCl2 (GGA-PBE, relaxed); values from VASP
! SG = P2/m
! formation energy from raw total energies = -11.116 eV per formula unit
! energy = -0.3913 Ry/atom
&SYSTEM
  ibrav = 0, nat = 8, ntyp = 4
/
ATOMIC_SPECIES
Sm 150.36 Sm.upf
Si 28.09 Si.upf
Se 78.96 Se.upf
Cl 35.45 Cl.upf
ATOMIC_POSITIONS crystal
Sm 0.225 0.000 0.228
Sm 0.228 0.500 0.760
Sm 0.772 0.500 0.240
Sm 0.775 0.000 0.772
Si 0.000 0.500 0.000
Se 0.000 0.000 0.500
Cl 0.500 0.000 0.000
Cl 0.500 0.500 0.500
CELL_PARAMETERS angstrom
7.132 0.000 0.000
0.000 4.192 0.000
-2.494 0.000 6.851


Record 12
! Sm3SiSeCl (GGA-PBE, relaxed); values from VASP
! SG = P2_1/m
! formation energy from raw total energies = -7.513 eV per formula unit
! energy = -0.3972 Ry/atom
&SYSTEM
  ibrav = 0, nat = 12, ntyp = 4
/
ATOMIC_SPECIES
Sm 150.36 Sm.upf
Si 28.09 Si.upf
Se 78.96 Se.upf
Cl 35.45 Cl.upf
ATOMIC_POSITIONS crystal
Sm 0.119 0.250 0.355
Sm 0.158 0.250 0.918
Sm 0.369 0.750 0.636
Sm 0.631 0.250 0.364
Sm 0.842 0.750 0.082
Sm 0.881 0.750 0.645
Si 0.126 0.250 0.643
Si 0.874 0.750 0.357
Se 0.375 0.750 0.344
Se 0.625 0.250 0.656
Cl 0.375 0.750 0.917
Cl 0.625 0.250 0.083
CELL_PARAMETERS angstrom
8.510 0.000 0.000
0.000 4.123 0.000
-0.240 0.000 10.152